1.
First-principles (PBE-GGA) data for a relaxed SrAl2ReO8 crystal, as listed in the Alexandria database.

a b c (Å): 4.6243 6.4893 4.6343
angles (deg): 90.00 92.15 90.00
Space group P2/m (No. 10)
Unique sites:
Sr (0.0000, 0.0000, 0.0000)
Al (0.5000, 0.2604, 0.5000)
Re (0.0000, 0.5000, 0.0000)
O (0.2116, 0.3004, 0.2092)
O (0.2945, 0.5000, 0.7035)
O (0.3472, 0.0000, 0.6486)

Output
DFT total energy = -7.2261 eV/atom
Formation energy from raw total energies = -2454 kJ/mol of formula units



2.
First-principles (PBE-GGA) data for a relaxed Na2MgAs crystal, as listed in the Alexandria database.

a b c (Å): 4.2410 4.2410 21.7150
angles (deg): 90.00 90.00 90.00
Space group I-42d (No. 122)
Unique sites:
Na (0.2250, 0.2500, 0.1250)
Mg (0.0000, 0.0000, 0.5000)
As (0.0000, 0.0000, 0.0000)

Output
Excess energy over the best structure of this formula in the dataset = 0.075 eV per atom
Formation energy from the elements = -0.046 eV/atom
DFT total energy = -2.2664 eV/atom



Number 1: total moment 1.000 μB per cell. Number 2: total moment 0.000 μB per cell.